MnTcGeO6: optimized geometry, PBE with a Hubbard U.

Calculated values
magnetic moment: 11.98 μB/cell
SG: P-31c
DOS(E_F): 4.93 states/eV per cell
E: -7.244 eV per atom

a b c (Å): 5.0648 5.0648 9.2441
angles (deg): 90.00 90.00 120.00
Site moments in Bohr magnetons follow the coordinates.
Fractional coordinates of all 18 atoms:
1 Mn 0.0000 0.0000 0.0000  4.59
2 Mn 0.0000 0.0000 0.5000  4.59
3 Tc 0.3333 0.6667 0.2500  0.94
4 Tc 0.6667 0.3333 0.7500  0.94
5 Ge 0.6667 0.3333 0.2500  0.04
6 Ge 0.3333 0.6667 0.7500  0.04
7 O 0.6404 0.6372 0.1367  0.02
8 O 0.9968 0.3596 0.1367  0.02
9 O 0.3596 0.9968 0.6367  0.02
10 O 0.0032 0.6404 0.8633  0.02
11 O 0.3628 0.3596 0.3633  0.02
12 O 0.9968 0.6372 0.3633  0.02
13 O 0.6372 0.9968 0.8633  0.02
14 O 0.6404 0.0032 0.3633  0.02
15 O 0.0032 0.3628 0.6367  0.02
16 O 0.3628 0.0032 0.1367  0.02
17 O 0.6372 0.6404 0.6367  0.02
18 O 0.3596 0.3628 0.8633  0.02